[1]
The following is a PBE calculation of a relaxed structure of LiSiSn2Sb, from Alexandria.

Calculated values
As for the formation energy without anion corrections: 38.9 kJ per mole of atoms.

Cell: 5.111 5.111 4.560 Å, 90.00 90.00 90.00°
Fractional coordinates of all 5 atoms:
Li 0.000 0.000 0.000
Si 0.000 0.000 0.500
Sn 0.000 0.500 0.000
Sn 0.500 0.000 0.000
Sb 0.500 0.500 0.500



[2]
The following is a PBE calculation of a relaxed structure of Mg7Cd12Hg, from Alexandria.

Calculated values
As for the formation energy from the elements: 0.01 eV/atom. As for the energy above the most stable polymorph in this dataset: 54 meV per atom.

Cell: 9.975 9.975 9.975 Å, 116.09 116.09 116.09°
Fractional coordinates of all 20 atoms:
Mg 0.000 0.000 0.000
Mg 0.165 0.499 0.351
Mg 0.351 0.165 0.499
Mg 0.499 0.351 0.165
Mg 0.501 0.649 0.835
Mg 0.649 0.835 0.501
Mg 0.835 0.501 0.649
Cd 0.006 0.857 0.658
Cd 0.143 0.342 0.994
Cd 0.244 0.753 0.739
Cd 0.247 0.261 0.756
Cd 0.261 0.756 0.247
Cd 0.342 0.994 0.143
Cd 0.658 0.006 0.857
Cd 0.739 0.244 0.753
Cd 0.753 0.739 0.244
Cd 0.756 0.247 0.261
Cd 0.857 0.658 0.006
Cd 0.994 0.143 0.342
Hg 0.500 0.500 0.500



[3]
The following is a PBE calculation of a relaxed structure of NdSnI, from Alexandria.

Calculated values
As for the formation energy without anion corrections: -95.4 kJ per mole of atoms.

Cell: 11.185 11.185 11.185 Å, 157.72 157.72 31.72°
Fractional coordinates of all 6 atoms:
Nd 0.111 0.111 0.000
Nd 0.889 0.889 0.000
Sn 0.000 0.500 0.500
Sn 0.500 0.000 0.500
I 0.322 0.322 0.000
I 0.678 0.678 0.000



[4]
The following is a PBE calculation of a relaxed structure of Dy3Cd, from Alexandria.

Calculated values
As for the formation energy from the elements: -0.09 eV/atom. As for the energy above the most stable polymorph in this dataset: 56 meV per atom.

Cell: 4.841 4.841 4.841 Å, 90.00 90.00 90.00°
Fractional coordinates of all 4 atoms:
Dy 0.000 0.000 0.500
Dy 0.000 0.500 0.000
Dy 0.500 0.000 0.000
Cd 0.500 0.500 0.500



[5]
The following is a PBE calculation of a relaxed structure of Li3CoRu, from Alexandria.

Calculated values
As for the formation energy from the elements: 1.08 eV/atom. As for the energy above the most stable polymorph in this dataset: 0 meV per atom.

Cell: 4.227 4.227 4.227 Å, 90.00 90.00 90.00°
Fractional coordinates of all 5 atoms:
Li 0.000 0.000 0.500
Li 0.000 0.500 0.000
Li 0.500 0.000 0.000
Co 0.000 0.000 0.000
Ru 0.500 0.500 0.500



[6]
The following is a PBE calculation of a relaxed structure of Rb2NiGePd, from Alexandria.

Calculated values
As for the formation energy from the elements: 0.57 eV/atom. As for the energy above the most stable polymorph in this dataset: 0 meV per atom.

Cell: 6.493 6.493 4.723 Å, 90.00 90.00 90.00°
Fractional coordinates of all 5 atoms:
Rb 0.000 0.500 0.000
Rb 0.500 0.000 0.000
Ni 0.000 0.000 0.500
Ge 0.500 0.500 0.500
Pd 0.500 0.500 0.000



[7]
The following is a PBE calculation of a relaxed structure of DyYCuSn, from Alexandria.

Calculated values
As for the formation energy from the elements: -0.44 eV/atom.

Cell: 5.147 5.147 5.147 Å, 60.00 60.00 60.00°
Fractional coordinates of all 4 atoms:
Dy 0.000 0.000 0.000
Y 0.500 0.500 0.500
Cu 0.750 0.750 0.750
Sn 0.250 0.250 0.250



[8]
The following is a PBE calculation of a relaxed structure of Ce6PuSn5, from Alexandria.

Calculated values
As for the formation energy from the elements: -0.51 eV/atom.

Cell: 5.718 6.867 9.115 Å, 112.03 96.67 90.09°
Fractional coordinates of all 12 atoms:
Ce 0.000 0.249 0.000
Ce 0.000 0.751 0.000
Ce 0.313 0.078 0.662
Ce 0.313 0.584 0.663
Ce 0.687 0.416 0.337
Ce 0.687 0.922 0.338
Pu 0.500 0.500 0.000
Sn 0.187 0.163 0.327
Sn 0.194 0.660 0.321
Sn 0.500 0.000 0.000
Sn 0.806 0.340 0.679
Sn 0.813 0.837 0.673



[9]
The following is a PBE calculation of a relaxed structure of LiNbSe2N, from Alexandria.

Calculated values
As for the formation energy without anion corrections: -29.1 kJ per mole of atoms. As for the energy above the most stable polymorph in this dataset: 0 meV per atom.

Cell: 5.197 5.197 3.953 Å, 90.00 90.00 90.00°
Fractional coordinates of all 5 atoms:
Li 0.000 0.000 0.000
Nb 0.500 0.500 0.500
Se 0.000 0.500 0.500
Se 0.500 0.000 0.500
N 0.500 0.500 0.000



[10]
The following is a PBE calculation of a relaxed structure of GaAg3Mo, from Alexandria.

Calculated values
As for the formation energy from the elements: 1.23 eV/atom. As for the energy above the most stable polymorph in this dataset: 0 meV per atom.

Cell: 4.686 4.686 4.686 Å, 90.00 90.00 90.00°
Fractional coordinates of all 5 atoms:
Ga 0.000 0.000 0.000
Ag 0.000 0.000 0.500
Ag 0.000 0.500 0.000
Ag 0.500 0.000 0.000
Mo 0.500 0.500 0.500



[11]
The following is a PBE calculation of a relaxed structure of CdI3NO, from Alexandria.

Calculated values
As for the formation energy without anion corrections: 65.2 kJ per mole of atoms.

Cell: 7.317 8.414 17.515 Å, 90.00 90.00 90.00°
Fractional coordinates of all 24 atoms:
Cd 0.000 0.201 0.000
Cd 0.000 0.799 0.500
Cd 0.500 0.202 0.000
Cd 0.500 0.798 0.500
I 0.000 0.060 0.856
I 0.000 0.468 0.497
I 0.000 0.532 0.997
I 0.000 0.940 0.356
I 0.250 0.058 0.104
I 0.250 0.942 0.604
I 0.500 0.064 0.855
I 0.500 0.467 0.500
I 0.500 0.533 0.000
I 0.500 0.936 0.355
I 0.750 0.058 0.104
I 0.750 0.942 0.604
N 0.253 0.280 0.357
N 0.253 0.720 0.857
N 0.747 0.280 0.357
N 0.747 0.720 0.857
O 0.084 0.458 0.723
O 0.084 0.542 0.223
O 0.916 0.458 0.723
O 0.916 0.542 0.223



[12]
The following is a PBE calculation of a relaxed structure of SrCaGdHo, from Alexandria.

Calculated values
As for the formation energy from the elements: 0.20 eV/atom.

Cell: 5.972 5.972 5.972 Å, 60.00 60.00 60.00°
Fractional coordinates of all 4 atoms:
Sr 0.000 0.000 0.000
Ca 0.750 0.750 0.750
Gd 0.500 0.500 0.500
Ho 0.250 0.250 0.250



In g cm⁻³, the density values for the records above are, in order, 5.496, 5.757, 6.440, 8.782, 3.977, 3.408, 7.467, 8.467, 4.227, 7.895, 3.223, 4.960.